Material: Ca2HgAs
Method: DFT, PBE
State: relaxed

abc: 4.3528 4.3528 11.1108
angles: 90.00 90.00 90.00
Space group I-4m2 (No. 119)
Symmetry-distinct sites (fractional):
Ca1 0.0000 0.0000 0.0000 x2
Ca2 0.0000 0.5000 0.2500 x2
Hg1 0.0000 0.5000 0.7500 x2
As1 0.0000 0.0000 0.5000 x2

## Properties
- DOS at the Fermi energy (states/eV per atom) = 0.537
- E (eV/atom) = -2.8691
- M_tot (μB per atom) = 0.000

Material: CaHg3As
Method: DFT, PBE
State: relaxed

abc: 5.3567 5.3567 5.3567
angles: 90.00 90.00 90.00
Space group Pm-3m (No. 221)
Symmetry-distinct sites (fractional):
Ca1 0.0000 0.0000 0.0000 x1
Hg1 0.0000 0.5000 0.5000 x3
As1 0.5000 0.5000 0.5000 x1

## Properties
- DOS at the Fermi energy (states/eV per atom) = 1.089
- E (eV/atom) = -1.4226
- M_tot (μB per atom) = 0.000

Material: CaHg2As2
Method: DFT, PBE
State: relaxed

abc: 7.4358 7.4358 4.6285
angles: 90.00 90.00 90.00
Space group P4/mbm (No. 127)
Symmetry-distinct sites (fractional):
Ca1 0.0000 0.0000 0.0000 x2
Hg1 0.1783 0.3217 0.5000 x4
As1 0.1161 0.6161 0.0000 x4

## Properties
- DOS at the Fermi energy (states/eV per atom) = 0.394
- E (eV/atom) = -2.5783
- M_tot (μB per atom) = 0.000

Material: CaHg2As2
Method: DFT, PBE
State: relaxed

abc: 4.1086 4.1086 16.1678
angles: 90.00 90.00 90.00
Space group I4/mmm (No. 139)
Symmetry-distinct sites (fractional):
Ca1 0.0000 0.0000 0.0000 x2
Hg1 0.0000 0.5000 0.2500 x4
As1 0.0000 0.0000 0.4260 x4

## Properties
- DOS at the Fermi energy (states/eV per atom) = 0.393
- E (eV/atom) = -2.6699
- M_tot (μB per atom) = 0.000

Material: Ca2HgAs
Method: DFT, PBE
State: relaxed

abc: 7.4545 7.4545 7.4545
angles: 90.00 90.00 90.00
Space group Fm-3m (No. 225)
Symmetry-distinct sites (fractional):
Ca1 0.2500 0.2500 0.2500 x8
Hg1 0.0000 0.0000 0.0000 x4
As1 0.0000 0.0000 0.5000 x4

## Properties
- DOS at the Fermi energy (states/eV per atom) = 0.814
- E (eV/atom) = -2.9881
- M_tot (μB per atom) = 0.000

Material: Ca2HgAs
Method: DFT, PBE
State: relaxed

abc: 3.6688 3.8752 7.1552
angles: 90.00 90.00 90.00
Space group Pmmm (No. 47)
Symmetry-distinct sites (fractional):
Ca1 0.0000 0.0000 0.2259 x2
Hg1 0.5000 0.5000 0.5000 x1
As1 0.5000 0.5000 0.0000 x1

## Properties
- DOS at the Fermi energy (states/eV per atom) = 0.157
- E (eV/atom) = -3.0437
- M_tot (μB per atom) = 0.000

- Which formula does entry 6 have?
  Ca2HgAs

Please write out number 5 again, unchanged.
Material: Ca2HgAs
Method: DFT, PBE
State: relaxed

abc: 7.4545 7.4545 7.4545
angles: 90.00 90.00 90.00
Space group Fm-3m (No. 225)
Symmetry-distinct sites (fractional):
Ca1 0.2500 0.2500 0.2500 x8
Hg1 0.0000 0.0000 0.0000 x4
As1 0.0000 0.0000 0.5000 x4

## Properties
- DOS at the Fermi energy (states/eV per atom) = 0.814
- E (eV/atom) = -2.9881
- M_tot (μB per atom) = 0.000

- Which of these has the highest E?
  CaHg3As